No. 1
An optimized crystal structure of Na12As3H5, computed with PBE-GGA.

```
data_Na12As3H5
_cell_length_a 15.3078
_cell_length_b 15.3078
_cell_length_c 15.3078
_cell_angle_alpha 90.00
_cell_angle_beta 90.00
_cell_angle_gamma 90.00
_space_group_name_H-M_alt 'I a -3 d'
_space_group_IT_number 230
_space_group_name_Hall '-I 4bd 2c 3'
loop_
_atom_site_label
_atom_site_fract_x
_atom_site_fract_y
_atom_site_fract_z
Na1 0.0296 0.0567 0.6532
As1 0.0000 0.2500 0.1250
H1 0.0000 0.0000 0.0000
H2 0.0000 0.2500 0.3750
```

Output
DOS(E_F) in states/eV per atom: 0.48
Calculated density in g cm⁻³: 1.9
Total energy in eV/atom: -2.520


No. 2
An optimized crystal structure of Na2AsH, computed with PBE-GGA.

```
data_Na2AsH
_cell_length_a 6.5088
_cell_length_b 6.5088
_cell_length_c 7.8192
_cell_angle_alpha 90.00
_cell_angle_beta 90.00
_cell_angle_gamma 90.00
_space_group_name_H-M_alt 'I -4 2 d'
_space_group_IT_number 122
_space_group_name_Hall 'I -4 2bw'
loop_
_atom_site_label
_atom_site_fract_x
_atom_site_fract_y
_atom_site_fract_z
Na1 0.1408 0.7500 0.1250
As1 0.0000 0.0000 0.5000
H1 0.0000 0.0000 0.0000
```

Output
DOS(E_F) in states/eV per atom: 0.69
Calculated density in g cm⁻³: 2.4
Total energy in eV/atom: -2.574
Excess energy over the best structure of this formula in the dataset in kJ/mol of formula units: 161


No. 3
An optimized crystal structure of NaAs2H, computed with PBE-GGA.

```
data_NaAs2H
_cell_length_a 6.4435
_cell_length_b 6.4435
_cell_length_c 6.4435
_cell_angle_alpha 90.00
_cell_angle_beta 90.00
_cell_angle_gamma 90.00
_space_group_name_H-M_alt 'F m -3 m'
_space_group_IT_number 225
_space_group_name_Hall '-F 4 2 3'
loop_
_atom_site_label
_atom_site_fract_x
_atom_site_fract_y
_atom_site_fract_z
Na1 0.0000 0.0000 0.0000
As1 0.2500 0.2500 0.2500
H1 0.0000 0.0000 0.5000
```

Output
DOS(E_F) in states/eV per atom: 0.46
Calculated density in g cm⁻³: 4.3
Total energy in eV/atom: -2.832
Excess energy over the best structure of this formula in the dataset in kJ/mol of formula units: 261